Density functional theory data (PBE) for crystalline AcSm5Ho3 at its relaxed geometry.

a b c (Å): 15.325 10.039 9.111
angles (deg): 90.00 119.54 90.00
Space group C2/c (No. 15)
One atom of each set of equivalent atoms:
Ac1 0.000 0.095 0.250
Sm1 0.000 0.437 0.250
Sm2 0.166 0.104 0.074
Sm3 0.176 0.428 0.100
Ho1 0.084 0.255 0.665
Ho2 0.250 0.250 0.500



Density functional theory data (PBE) for crystalline AcSmHo2 at its relaxed geometry.

Output
Distance to the lowest polymorph of the same formula in kcal/mol of atoms: 3.29

a b c (Å): 3.5849 3.5849 38.2053
angles (deg): 90.00 90.00 120.00
Space group R-3m (No. 166, hexagonal axes)
One atom of each set of equivalent atoms:
Ac1 0.0000 0.0000 0.0000
Sm1 0.0000 0.0000 0.5000
Ho1 0.0000 0.0000 0.0922



Number 1: total DFT energy (no corrections) -162.8 eV/cell, energy of formation 8.0 kJ/mol of atoms, magnetization 0.00 μB/cell. Number 2: total DFT energy (no corrections) -51.6 eV/cell, energy of formation 18.7 kJ/mol of atoms, magnetization 0.00 μB/cell.